(1)
Crystalline Pm2HfSi3 at its relaxed geometry. Source: Alexandria, functional PBE.

Output
formation energy from raw total energies = -535 meV/atom
density of states at the Fermi level = 9.27 states/eV per cell

a b c (Å): 7.732 7.732 5.093
angles (deg): 90.00 90.00 67.38
Sites, in units of the cell vectors:
Pm  0.030  0.675  0.750
Pm  0.325  0.970  0.750
Pm  0.675  0.030  0.250
Pm  0.970  0.325  0.250
Hf  0.398  0.602  0.250
Hf  0.602  0.398  0.750
Si  0.091  0.909  0.250
Si  0.326  0.326  0.000
Si  0.326  0.326  0.500
Si  0.674  0.674  0.000
Si  0.674  0.674  0.500
Si  0.909  0.091  0.750

---

(2)
Crystalline PmHfSi2 at its relaxed geometry. Source: Alexandria, functional PBE.

Output
formation energy from raw total energies = -511 meV/atom
density of states at the Fermi level = 5.92 states/eV per cell

a b c (Å): 4.311 4.311 16.439
angles (deg): 90.00 90.00 120.00
Sites, in units of the cell vectors:
Pm  0.000  0.000  0.000
Pm  0.333  0.667  0.667
Pm  0.667  0.333  0.333
Hf  0.000  0.000  0.500
Hf  0.333  0.667  0.167
Hf  0.667  0.333  0.833
Si  0.000  0.000  0.233
Si  0.000  0.000  0.767
Si  0.333  0.667  0.434
Si  0.333  0.667  0.900
Si  0.667  0.333  0.100
Si  0.667  0.333  0.566

---

(3)
Crystalline PmHfSi at its relaxed geometry. Source: Alexandria, functional PBE.

Output
formation energy from raw total energies = -267 meV/atom
density of states at the Fermi level = 9.09 states/eV per cell

a b c (Å): 6.632 6.632 8.043
angles (deg): 112.98 112.98 92.93
Sites, in units of the cell vectors:
Pm  0.007  0.756  0.514
Pm  0.244  0.993  0.986
Pm  0.756  0.007  0.014
Pm  0.993  0.244  0.486
Hf  0.249  0.500  0.999
Hf  0.500  0.249  0.499
Hf  0.500  0.751  0.501
Hf  0.751  0.500  0.001
Si  0.149  0.851  0.250
Si  0.399  0.601  0.750
Si  0.601  0.399  0.250
Si  0.851  0.149  0.750

---

(4)
Crystalline PmSmHf at its relaxed geometry. Source: Alexandria, functional PBE.

Output
relative energy among the computed polymorphs = 11.09 kJ/mol of atoms
DFT formation energy = 0.254 eV per atom
density of states at the Fermi level = 5.40 states/eV per cell

a b c (Å): 5.448 5.448 3.394
angles (deg): 90.00 90.00 120.00
Sites, in units of the cell vectors:
Pm  0.000  0.000  0.000
Sm  0.667  0.333  0.500
Hf  0.333  0.667  0.000

---

(5)
Crystalline PmSmHf at its relaxed geometry. Source: Alexandria, functional PBE.

Output
relative energy among the computed polymorphs = 1.56 kJ/mol of atoms
DFT formation energy = 0.155 eV per atom
density of states at the Fermi level = 8.51 states/eV per cell

a b c (Å): 3.388 3.388 15.349
angles (deg): 90.00 90.00 90.00
Sites, in units of the cell vectors:
Pm  0.000  0.000  0.000
Pm  0.500  0.500  0.500
Sm  0.000  0.000  0.693
Sm  0.500  0.500  0.193
Hf  0.000  0.000  0.345
Hf  0.500  0.500  0.845

---

(6)
Crystalline PmSmHf at its relaxed geometry. Source: Alexandria, functional PBE.

Output
relative energy among the computed polymorphs = 0.00 kJ/mol of atoms
DFT formation energy = 0.139 eV per atom
density of states at the Fermi level = 8.90 states/eV per cell

a b c (Å): 3.787 3.787 12.808
angles (deg): 90.00 90.00 90.00
Sites, in units of the cell vectors:
Pm  0.250  0.250  0.095
Pm  0.750  0.750  0.905
Sm  0.250  0.250  0.704
Sm  0.750  0.750  0.296
Hf  0.250  0.250  0.449
Hf  0.750  0.750  0.551

---

(7)
Crystalline Pm3HfSn5 at its relaxed geometry. Source: Alexandria, functional PBE.

Output
DFT formation energy = -0.613 eV per atom
density of states at the Fermi level = 10.73 states/eV per cell

a b c (Å): 9.392 9.392 6.322
angles (deg): 90.00 90.00 120.00
Sites, in units of the cell vectors:
Pm  0.000  0.386  0.250
Pm  0.000  0.614  0.750
Pm  0.386  0.000  0.250
Pm  0.386  0.386  0.750
Pm  0.614  0.000  0.750
Pm  0.614  0.614  0.250
Hf  0.000  0.000  0.000
Hf  0.000  0.000  0.500
Sn  0.000  0.269  0.750
Sn  0.000  0.731  0.250
Sn  0.269  0.000  0.750
Sn  0.269  0.269  0.250
Sn  0.333  0.667  0.000
Sn  0.333  0.667  0.500
Sn  0.667  0.333  0.000
Sn  0.667  0.333  0.500
Sn  0.731  0.000  0.250
Sn  0.731  0.731  0.750

---

(8)
Crystalline PmHfSn2 at its relaxed geometry. Source: Alexandria, functional PBE.

Output
DFT formation energy = -0.364 eV per atom
density of states at the Fermi level = 4.00 states/eV per cell

a b c (Å): 4.727 4.727 4.448
angles (deg): 90.00 90.00 90.00
Sites, in units of the cell vectors:
Pm  0.000  0.000  0.000
Hf  0.500  0.500  0.000
Sn  0.000  0.500  0.500
Sn  0.500  0.000  0.500

---

(9)
Crystalline PmHfSn2 at its relaxed geometry. Source: Alexandria, functional PBE.

Output
DFT formation energy = -0.298 eV per atom
density of states at the Fermi level = 2.02 states/eV per cell

a b c (Å): 4.129 4.129 7.819
angles (deg): 90.00 90.00 120.00
Sites, in units of the cell vectors:
Pm  0.000  0.000  0.000
Hf  0.000  0.000  0.500
Sn  0.333  0.667  0.724
Sn  0.667  0.333  0.276

---

(10)
Crystalline PmHfSn2 at its relaxed geometry. Source: Alexandria, functional PBE.

Output
DFT formation energy = -0.390 eV per atom
density of states at the Fermi level = 3.17 states/eV per cell

a b c (Å): 3.895 3.895 6.672
angles (deg): 90.00 90.00 90.00
Sites, in units of the cell vectors:
Pm  0.000  0.000  0.000
Hf  0.000  0.000  0.500
Sn  0.500  0.500  0.280
Sn  0.500  0.500  0.720

---

(11)
Crystalline Pm2HfSn3 at its relaxed geometry. Source: Alexandria, functional PBE.

Output
DFT formation energy = -0.508 eV per atom
density of states at the Fermi level = 8.88 states/eV per cell

a b c (Å): 7.946 7.946 7.675
angles (deg): 97.53 97.53 133.17
Sites, in units of the cell vectors:
Pm  0.026  0.974  0.750
Pm  0.323  0.677  0.750
Pm  0.677  0.323  0.250
Pm  0.974  0.026  0.250
Hf  0.351  0.649  0.250
Hf  0.649  0.351  0.750
Sn  0.131  0.784  0.038
Sn  0.216  0.869  0.462
Sn  0.500  0.500  0.000
Sn  0.500  0.500  0.500
Sn  0.784  0.131  0.538
Sn  0.869  0.216  0.962

---

(12)
Crystalline Pm5HfSn6 at its relaxed geometry. Source: Alexandria, functional PBE.

Output
DFT formation energy = -0.567 eV per atom
density of states at the Fermi level = 10.18 states/eV per cell

a b c (Å): 8.296 8.296 7.497
angles (deg): 96.68 96.68 134.94
Sites, in units of the cell vectors:
Pm  0.000  0.000  0.000
Pm  0.314  0.686  0.000
Pm  0.349  0.651  0.500
Pm  0.651  0.349  0.500
Pm  0.686  0.314  0.000
Hf  0.000  0.000  0.500
Sn  0.146  0.823  0.281
Sn  0.177  0.854  0.719
Sn  0.463  0.463  0.781
Sn  0.537  0.537  0.219
Sn  0.823  0.146  0.281
Sn  0.854  0.177  0.719

---

(13)
Crystalline Pm6HfSn10 at its relaxed geometry. Source: Alexandria, functional PBE.

Output
DFT formation energy = -0.537 eV per atom
density of states at the Fermi level = 11.59 states/eV per cell

a b c (Å): 9.345 9.345 6.291
angles (deg): 90.00 90.00 120.00
Sites, in units of the cell vectors:
Pm  0.000  0.389  0.261
Pm  0.000  0.611  0.739
Pm  0.389  0.000  0.261
Pm  0.389  0.389  0.739
Pm  0.611  0.000  0.739
Pm  0.611  0.611  0.261
Hf  0.000  0.000  0.500
Sn  0.000  0.239  0.799
Sn  0.000  0.761  0.201
Sn  0.239  0.000  0.799
Sn  0.239  0.239  0.201
Sn  0.333  0.667  0.000
Sn  0.333  0.667  0.500
Sn  0.667  0.333  0.000
Sn  0.667  0.333  0.500
Sn  0.761  0.000  0.201
Sn  0.761  0.761  0.799

---

(14)
Crystalline Pm5HfSn4 at its relaxed geometry. Source: Alexandria, functional PBE.

Output
DFT formation energy = -0.420 eV per atom
density of states at the Fermi level = 7.20 states/eV per cell

a b c (Å): 8.668 8.668 7.022
angles (deg): 92.32 92.32 35.72
Sites, in units of the cell vectors:
Pm  0.000  0.000  0.000
Pm  0.331  0.331  0.494
Pm  0.334  0.334  0.996
Pm  0.666  0.666  0.004
Pm  0.669  0.669  0.506
Hf  0.000  0.000  0.500
Sn  0.168  0.168  0.746
Sn  0.494  0.494  0.731
Sn  0.506  0.506  0.269
Sn  0.832  0.832  0.254

---

(15)
Crystalline PmHfSn2 at its relaxed geometry. Source: Alexandria, functional PBE.

Output
DFT formation energy = -0.288 eV per atom
density of states at the Fermi level = 6.68 states/eV per cell

a b c (Å): 3.379 3.379 30.786
angles (deg): 90.00 90.00 120.00
Sites, in units of the cell vectors:
Pm  0.000  0.000  0.000
Pm  0.333  0.667  0.667
Pm  0.667  0.333  0.333
Hf  0.000  0.000  0.500
Hf  0.333  0.667  0.167
Hf  0.667  0.333  0.833
Sn  0.000  0.000  0.245
Sn  0.000  0.000  0.755
Sn  0.333  0.667  0.422
Sn  0.333  0.667  0.911
Sn  0.667  0.333  0.089
Sn  0.667  0.333  0.578

---

(16)
Crystalline PmHfZnSn at its relaxed geometry. Source: Alexandria, functional PBE.

Output
DFT formation energy = -0.220 eV per atom
density of states at the Fermi level = 14.15 states/eV per cell

a b c (Å): 7.186 7.186 7.186
angles (deg): 90.00 90.00 90.00
Sites, in units of the cell vectors:
Pm  0.000  0.000  0.000
Pm  0.000  0.500  0.500
Pm  0.500  0.000  0.500
Pm  0.500  0.500  0.000
Hf  0.000  0.000  0.500
Hf  0.000  0.500  0.000
Hf  0.500  0.000  0.000
Hf  0.500  0.500  0.500
Zn  0.250  0.250  0.250
Zn  0.250  0.750  0.750
Zn  0.750  0.250  0.750
Zn  0.750  0.750  0.250
Sn  0.250  0.250  0.750
Sn  0.250  0.750  0.250
Sn  0.750  0.250  0.250
Sn  0.750  0.750  0.750

---

(17)
Crystalline SrPm2Hf at its relaxed geometry. Source: Alexandria, functional PBE.

Output
DFT formation energy = 0.320 eV per atom
density of states at the Fermi level = 19.54 states/eV per cell

a b c (Å): 3.531 3.531 37.722
angles (deg): 90.00 90.00 120.00
Sites, in units of the cell vectors:
Sr  0.000  0.000  0.000
Sr  0.333  0.667  0.667
Sr  0.667  0.333  0.333
Pm  0.000  0.000  0.097
Pm  0.000  0.000  0.903
Pm  0.333  0.667  0.570
Pm  0.333  0.667  0.764
Pm  0.667  0.333  0.236
Pm  0.667  0.333  0.430
Hf  0.000  0.000  0.500
Hf  0.333  0.667  0.167
Hf  0.667  0.333  0.833

---

(18)
Crystalline PmHfTa at its relaxed geometry. Source: Alexandria, functional PBE.

Output
DFT formation energy = 0.385 eV per atom
density of states at the Fermi level = 7.69 states/eV per cell

a b c (Å): 7.272 6.145 5.599
angles (deg): 76.36 55.20 48.44
Sites, in units of the cell vectors:
Pm  0.162  0.838  0.162
Pm  0.838  0.162  0.838
Hf  0.329  0.329  0.671
Hf  0.671  0.671  0.329
Ta  0.250  0.250  0.250
Ta  0.750  0.750  0.750

---

(19)
Crystalline TbPmHf at its relaxed geometry. Source: Alexandria, functional PBE.

Output
relative energy among the computed polymorphs = 0.00 kJ/mol of atoms
DFT formation energy = 0.141 eV per atom
density of states at the Fermi level = 8.62 states/eV per cell

a b c (Å): 3.373 3.373 15.201
angles (deg): 90.00 90.00 90.00
Sites, in units of the cell vectors:
Tb  0.000  0.000  0.000
Tb  0.500  0.500  0.500
Pm  0.000  0.000  0.308
Pm  0.500  0.500  0.808
Hf  0.000  0.000  0.650
Hf  0.500  0.500  0.150

---

(20)
Crystalline TbPmHf at its relaxed geometry. Source: Alexandria, functional PBE.

Output
relative energy among the computed polymorphs = 8.64 kJ/mol of atoms
DFT formation energy = 0.231 eV per atom
density of states at the Fermi level = 6.00 states/eV per cell

a b c (Å): 5.404 5.404 3.379
angles (deg): 90.00 90.00 120.00
Sites, in units of the cell vectors:
Tb  0.000  0.000  0.000
Pm  0.333  0.667  0.500
Hf  0.667  0.333  0.500

---

(21)
Crystalline Tb14PmHf at its relaxed geometry. Source: Alexandria, functional PBE.

Output
DFT formation energy = 0.049 eV per atom
density of states at the Fermi level = 19.84 states/eV per cell

a b c (Å): 7.077 7.077 9.972
angles (deg): 90.00 90.00 90.00
Sites, in units of the cell vectors:
Tb  0.000  0.000  0.000
Tb  0.000  0.500  0.000
Tb  0.000  0.500  0.500
Tb  0.244  0.244  0.255
Tb  0.244  0.244  0.745
Tb  0.244  0.756  0.255
Tb  0.244  0.756  0.745
Tb  0.500  0.000  0.000
Tb  0.500  0.000  0.500
Tb  0.500  0.500  0.000
Tb  0.756  0.244  0.255
Tb  0.756  0.244  0.745
Tb  0.756  0.756  0.255
Tb  0.756  0.756  0.745
Pm  0.500  0.500  0.500
Hf  0.000  0.000  0.500

---

(22)
Crystalline TbPmHf at its relaxed geometry. Source: Alexandria, functional PBE.

Output
relative energy among the computed polymorphs = 9.35 kJ/mol of atoms
DFT formation energy = 0.238 eV per atom
density of states at the Fermi level = 9.21 states/eV per cell

a b c (Å): 4.678 4.678 8.329
angles (deg): 90.00 90.00 90.00
Sites, in units of the cell vectors:
Tb  0.250  0.250  0.220
Tb  0.750  0.750  0.780
Pm  0.250  0.250  0.790
Pm  0.750  0.750  0.210
Hf  0.250  0.750  0.500
Hf  0.750  0.250  0.500

---

(23)
Crystalline PmHfTe2 at its relaxed geometry. Source: Alexandria, functional PBE.

Output
formation energy from raw total energies = -845 meV/atom
relative energy among the computed polymorphs = 0.00 kJ/mol of atoms
density of states at the Fermi level = 2.61 states/eV per cell

a b c (Å): 3.658 3.658 7.497
angles (deg): 90.00 90.00 90.00
Sites, in units of the cell vectors:
Pm  0.000  0.000  0.000
Hf  0.000  0.000  0.500
Te  0.500  0.500  0.272
Te  0.500  0.500  0.728

---

(24)
Crystalline Pm2Hf2Te7 at its relaxed geometry. Source: Alexandria, functional PBE.

Output
formation energy from raw total energies = -894 meV/atom

a b c (Å): 8.093 8.093 7.632
angles (deg): 93.71 93.71 112.57
Sites, in units of the cell vectors:
Pm  0.188  0.812  0.000
Pm  0.812  0.188  0.000
Hf  0.223  0.223  0.612
Hf  0.777  0.777  0.388
Te  0.080  0.080  0.260
Te  0.080  0.453  0.766
Te  0.453  0.080  0.766
Te  0.500  0.500  0.500
Te  0.547  0.920  0.234
Te  0.920  0.547  0.234
Te  0.920  0.920  0.740

---

(25)
Crystalline PmHf4Te8 at its relaxed geometry. Source: Alexandria, functional PBE.

Output
formation energy from raw total energies = -783 meV/atom
density of states at the Fermi level = 9.86 states/eV per cell

a b c (Å): 8.428 8.428 8.428
angles (deg): 60.00 60.00 60.00
Sites, in units of the cell vectors:
Pm  0.000  0.000  0.000
Hf  0.394  0.394  0.394
Hf  0.394  0.394  0.817
Hf  0.394  0.817  0.394
Hf  0.817  0.394  0.394
Te  0.104  0.632  0.632
Te  0.143  0.143  0.143
Te  0.143  0.143  0.572
Te  0.143  0.572  0.143
Te  0.572  0.143  0.143
Te  0.632  0.104  0.632
Te  0.632  0.632  0.104
Te  0.632  0.632  0.632

---

Values for raw total energy, eV/atom, ordered as above
-6.489 -6.898 -6.976 -6.220 -6.319 -6.335 -5.526 -6.042 -5.975 -6.068 -5.752 -5.378 -5.154 -5.391 -5.965 -5.216 -4.964 -8.467 -6.303 -6.214 -4.921 -6.206 -6.092 -5.567 -6.144